# LiAgTe2N | the Alexandria database | PBE-GGA | relaxed
# Total DFT energy (no corrections) ... -3.086 eV/atom
# ΔE_f (raw) ... 0.788 eV per atom
# D(E_F) ... 0.419 states/eV per atom
data_LiAgTe2N
_space_group_name_H-M_alt 'P 1'
_space_group_IT_number 1
_space_group_name_Hall 'P 1'
_cell_length_a 5.3179
_cell_length_b 5.3179
_cell_length_c 3.4712
_cell_angle_alpha 90.00
_cell_angle_beta 90.00
_cell_angle_gamma 90.00
loop_
_atom_site_label
_atom_site_fract_x
_atom_site_fract_y
_atom_site_fract_z
Li1 0.0000 0.0000 0.0000
Ag1 0.5000 0.5000 0.5000
N1 0.0000 0.0000 0.5000
Te1 0.5000 0.0000 0.0000
Te2 0.0000 0.5000 0.0000



# Li2HoIn2 | the Alexandria database | PBE-GGA | relaxed
# Total DFT energy (no corrections) ... -3.071 eV/atom
# D(E_F) ... 0.496 states/eV per atom
# Formation enthalpy at 0 K ... -0.294 eV/atom
data_Li2HoIn2
_space_group_name_H-M_alt 'P 1'
_space_group_IT_number 1
_space_group_name_Hall 'P 1'
_cell_length_a 3.1561
_cell_length_b 8.2083
_cell_length_c 8.2083
_cell_angle_alpha 90.00
_cell_angle_beta 90.00
_cell_angle_gamma 90.00
loop_
_atom_site_label
_atom_site_fract_x
_atom_site_fract_y
_atom_site_fract_z
Li1 0.0000 0.8836 0.6164
In1 0.5000 0.1804 0.6804
In2 0.5000 0.8196 0.3196
Li2 0.0000 0.1164 0.3836
Li3 0.0000 0.3836 0.8836
In3 0.5000 0.3196 0.1804
Ho1 0.0000 0.0000 0.0000
Li4 0.0000 0.6164 0.1164
Ho2 0.0000 0.5000 0.5000
In4 0.5000 0.6804 0.8196



# Tb4CSe2Br | the Alexandria database | PBE-GGA | relaxed
# Total DFT energy (no corrections) ... -5.826 eV/atom
# ΔE_f (raw) ... -1.278 eV per atom
# D(E_F) ... 0.298 states/eV per atom
data_Tb4CSe2Br
_space_group_name_H-M_alt 'P 1'
_space_group_IT_number 1
_space_group_name_Hall 'P 1'
_cell_length_a 3.9025
_cell_length_b 6.8879
_cell_length_c 7.1692
_cell_angle_alpha 71.73
_cell_angle_beta 90.00
_cell_angle_gamma 90.00
loop_
_atom_site_label
_atom_site_fract_x
_atom_site_fract_y
_atom_site_fract_z
Br1 0.5000 0.5000 0.0000
Tb1 0.5000 0.2896 0.7015
Se1 0.0000 0.0000 0.0000
Tb2 0.5000 0.7104 0.2985
Tb3 0.0000 0.7314 0.7075
Se2 0.5000 0.0000 0.5000
Tb4 0.0000 0.2686 0.2925
C1 0.0000 0.5000 0.5000



# Cr3MoPt | the Alexandria database | PBE-GGA | relaxed
# Total DFT energy (no corrections) ... -7.613 eV/atom
# D(E_F) ... 1.585 states/eV per atom
# Formation enthalpy at 0 K ... 1.536 eV/atom
data_Cr3MoPt
_space_group_name_H-M_alt 'P 1'
_space_group_IT_number 1
_space_group_name_Hall 'P 1'
_cell_length_a 4.7650
_cell_length_b 4.7650
_cell_length_c 4.7650
_cell_angle_alpha 90.00
_cell_angle_beta 90.00
_cell_angle_gamma 90.00
loop_
_atom_site_label
_atom_site_fract_x
_atom_site_fract_y
_atom_site_fract_z
Cr1 0.0000 0.5000 0.0000
Cr2 0.5000 0.0000 0.0000
Mo1 0.5000 0.5000 0.5000
Pt1 0.0000 0.0000 0.0000
Cr3 0.0000 0.0000 0.5000



# AcPr6Tm4 | the Alexandria database | PBE-GGA | relaxed
# Total DFT energy (no corrections) ... -4.282 eV/atom
# D(E_F) ... 1.582 states/eV per atom
# Formation enthalpy at 0 K ... 0.325 eV/atom
data_AcPr6Tm4
_space_group_name_H-M_alt 'P 1'
_space_group_IT_number 1
_space_group_name_Hall 'P 1'
_cell_length_a 10.0735
_cell_length_b 10.0735
_cell_length_c 10.0735
_cell_angle_alpha 55.67
_cell_angle_beta 141.44
_cell_angle_gamma 141.44
loop_
_atom_site_label
_atom_site_fract_x
_atom_site_fract_y
_atom_site_fract_z
Pr1 0.0000 0.4575 0.8167
Tm1 0.0000 0.6377 0.0079
Pr2 0.0000 0.8167 0.4575
Pr3 0.3592 0.5425 0.5425
Pr4 0.5000 0.5000 0.0000
Tm2 0.6298 0.9921 0.9921
Pr5 0.6408 0.1833 0.1833
Tm3 0.0000 0.0079 0.6377
Pr6 0.5000 0.0000 0.5000
Tm4 0.3702 0.3623 0.3623
Ac1 0.0000 0.0000 0.0000



# MnGeSeN2 | the Alexandria database | PBE-GGA | relaxed
# Total DFT energy (no corrections) ... -5.341 eV/atom
# ΔE_f (raw) ... 1.443 eV per atom
# D(E_F) ... 1.351 states/eV per atom
data_MnGeSeN2
_space_group_name_H-M_alt 'P 1'
_space_group_IT_number 1
_space_group_name_Hall 'P 1'
_cell_length_a 3.5842
_cell_length_b 3.5842
_cell_length_c 6.3103
_cell_angle_alpha 90.00
_cell_angle_beta 90.00
_cell_angle_gamma 90.00
loop_
_atom_site_label
_atom_site_fract_x
_atom_site_fract_y
_atom_site_fract_z
N1 0.0000 0.5000 0.0000
N2 0.5000 0.0000 0.0000
Mn1 0.5000 0.5000 0.5000
Se1 0.0000 0.0000 0.5000
Ge1 0.0000 0.0000 0.0000



# PmPrMnAl | the Alexandria database | PBE-GGA | relaxed
# Total DFT energy (no corrections) ... -5.607 eV/atom
# D(E_F) ... 1.218 states/eV per atom
# Formation enthalpy at 0 K ... 0.004 eV/atom
data_PmPrMnAl
_space_group_name_H-M_alt 'P 1'
_space_group_IT_number 1
_space_group_name_Hall 'P 1'
_cell_length_a 5.2553
_cell_length_b 5.2553
_cell_length_c 5.2553
_cell_angle_alpha 60.00
_cell_angle_beta 60.00
_cell_angle_gamma 60.00
loop_
_atom_site_label
_atom_site_fract_x
_atom_site_fract_y
_atom_site_fract_z
Pr1 0.7500 0.7500 0.7500
Mn1 0.0000 0.0000 0.0000
Al1 0.5000 0.5000 0.5000
Pm1 0.2500 0.2500 0.2500



# MgAl2H4Pb2O4F6 | the Alexandria database | PBE-GGA | relaxed
# Total DFT energy (no corrections) ... -5.391 eV/atom
data_MgAl2H4Pb2O4F6
_space_group_name_H-M_alt 'P 1'
_space_group_IT_number 1
_space_group_name_Hall 'P 1'
_cell_length_a 5.6860
_cell_length_b 5.8256
_cell_length_c 7.7432
_cell_angle_alpha 105.93
_cell_angle_beta 84.08
_cell_angle_gamma 101.23
loop_
_atom_site_label
_atom_site_fract_x
_atom_site_fract_y
_atom_site_fract_z
F1 0.7267 0.6930 0.5635
O1 0.0134 0.0956 0.8432
Al1 0.1564 0.1750 0.6327
F2 0.1152 0.4969 0.7374
F3 0.4504 0.2043 0.7087
H1 0.0705 0.7717 0.0927
O2 0.9866 0.9044 0.1568
F4 0.2733 0.3070 0.4365
H2 0.3003 0.8435 0.4057
H3 0.6997 0.1565 0.5943
Pb1 0.6450 0.7731 0.9419
H4 0.9295 0.2283 0.9073
F5 0.5496 0.7957 0.2913
Al2 0.8436 0.8250 0.3673
O3 0.8508 0.1442 0.5176
Pb2 0.3550 0.2269 0.0581
Mg1 0.0000 0.5000 0.5000
F6 0.8848 0.5031 0.2626
O4 0.1492 0.8558 0.4824



# Li2CdIr | the Alexandria database | PBE-GGA | relaxed
# Total DFT energy (no corrections) ... -3.545 eV/atom
# D(E_F) ... 0.628 states/eV per atom
# Formation enthalpy at 0 K ... -0.144 eV/atom
data_Li2CdIr
_space_group_name_H-M_alt 'P 1'
_space_group_IT_number 1
_space_group_name_Hall 'P 1'
_cell_length_a 9.5133
_cell_length_b 9.5133
_cell_length_c 9.5133
_cell_angle_alpha 16.86
_cell_angle_beta 16.86
_cell_angle_gamma 16.86
loop_
_atom_site_label
_atom_site_fract_x
_atom_site_fract_y
_atom_site_fract_z
Cd1 0.2500 0.2500 0.2500
Li1 0.0089 0.0089 0.0089
Li2 0.4911 0.4911 0.4911
Ir1 0.7500 0.7500 0.7500



# Pm12Dy5Cd2 | the Alexandria database | PBE-GGA | relaxed
# Total DFT energy (no corrections) ... -4.266 eV/atom
# D(E_F) ... 1.527 states/eV per atom
# Formation enthalpy at 0 K ... 0.042 eV/atom
data_Pm12Dy5Cd2
_space_group_name_H-M_alt 'P 1'
_space_group_IT_number 1
_space_group_name_Hall 'P 1'
_cell_length_a 9.2599
_cell_length_b 9.0844
_cell_length_c 8.5360
_cell_angle_alpha 92.38
_cell_angle_beta 90.00
_cell_angle_gamma 120.64
loop_
_atom_site_label
_atom_site_fract_x
_atom_site_fract_y
_atom_site_fract_z
Pm1 0.0805 0.1610 0.8827
Pm2 0.6671 0.7037 0.7643
Cd1 0.3304 0.0000 0.0000
Dy1 0.6968 0.3936 0.0191
Pm3 0.8203 0.2517 0.6725
Dy2 0.0000 0.0000 0.5000
Pm4 0.5686 0.7483 0.3275
Pm5 0.4314 0.2517 0.6725
Cd2 0.6696 0.0000 0.0000
Pm6 0.9634 0.2963 0.2357
Dy3 0.3032 0.6064 0.9809
Pm7 0.5578 0.1156 0.3295
Pm8 0.0366 0.7037 0.7643
Pm9 0.3329 0.2963 0.2357
Dy4 0.2324 0.4648 0.5766
Pm10 0.9195 0.8390 0.1173
Pm11 0.1797 0.7483 0.3275
Dy5 0.7676 0.5352 0.4234
Pm12 0.4422 0.8844 0.6705



# BaLiNO2 | the Alexandria database | PBE-GGA | relaxed
# Total DFT energy (no corrections) ... -4.179 eV/atom
# ΔE_f (raw) ... 0.236 eV per atom
# D(E_F) ... 0.496 states/eV per atom
data_BaLiNO2
_space_group_name_H-M_alt 'P 1'
_space_group_IT_number 1
_space_group_name_Hall 'P 1'
_cell_length_a 4.9309
_cell_length_b 4.9309
_cell_length_c 5.3212
_cell_angle_alpha 90.00
_cell_angle_beta 90.00
_cell_angle_gamma 90.00
loop_
_atom_site_label
_atom_site_fract_x
_atom_site_fract_y
_atom_site_fract_z
O1 0.0000 0.5000 0.0000
Ba1 0.0000 0.0000 0.0000
N1 0.0000 0.0000 0.5000
O2 0.5000 0.0000 0.0000
Li1 0.5000 0.5000 0.5000